No. 1
# CaTb4PrSe8 | Alexandria | PBE | relaxed
data_CaTb4PrSe8
_chemical_formula_sum 'Ca1 Tb4 Pr1 Se8'
_symmetry_space_group_name_H-M 'P 1'
_symmetry_Int_Tables_number 1
_cell_length_a 8.508
_cell_length_b 8.508
_cell_length_c 8.576
_cell_angle_alpha 60.26
_cell_angle_beta 60.26
_cell_angle_gamma 60.00
loop_
_symmetry_equiv_pos_as_xyz
'x,y,z'
loop_
_atom_site_label
_atom_site_fract_x
_atom_site_fract_y
_atom_site_fract_z
_atom_site_occupancy
Ca1 0.374 0.374 0.879 1
Tb1 0.626 0.626 0.123 1
Tb2 0.002 0.494 0.502 1
Tb3 0.494 0.002 0.502 1
Tb4 0.002 0.002 0.502 1
Pr1 0.002 0.002 0.994 1
Se1 0.246 0.776 0.731 1
Se2 0.776 0.246 0.731 1
Se3 0.246 0.246 0.731 1
Se4 0.240 0.240 0.280 1
Se5 0.752 0.230 0.266 1
Se6 0.230 0.752 0.266 1
Se7 0.752 0.752 0.266 1
Se8 0.758 0.758 0.725 1
# **Space-group type**: R3m (160)
# **Energy relative to the elements, uncorrected**: -1799.3 meV/atom
# **ρ**: 5.5 g/cm3

---

No. 2
# TbNbTc4 | Alexandria | PBE | relaxed
data_TbNbTc4
_chemical_formula_sum 'Tb1 Nb1 Tc4'
_symmetry_space_group_name_H-M 'P 1'
_symmetry_Int_Tables_number 1
_cell_length_a 5.289
_cell_length_b 5.289
_cell_length_c 5.289
_cell_angle_alpha 60.00
_cell_angle_beta 60.00
_cell_angle_gamma 60.00
loop_
_symmetry_equiv_pos_as_xyz
'x,y,z'
loop_
_atom_site_label
_atom_site_fract_x
_atom_site_fract_y
_atom_site_fract_z
_atom_site_occupancy
Nb1 0.000 0.000 0.000 1
Tb1 0.250 0.250 0.250 1
Tc1 0.625 0.625 0.124 1
Tc2 0.625 0.124 0.625 1
Tc3 0.625 0.625 0.625 1
Tc4 0.124 0.625 0.625 1
# **Space-group type**: F-43m (216)
# **Formation energy from the elements**: -40 meV/atom
# **ρ**: 10.2 g/cm3

---

No. 3
# In2RhCl | Alexandria | PBE | relaxed
data_In2RhCl
_chemical_formula_sum 'In2 Rh1 Cl1'
_symmetry_space_group_name_H-M 'P 1'
_symmetry_Int_Tables_number 1
_cell_length_a 4.927
_cell_length_b 4.927
_cell_length_c 4.927
_cell_angle_alpha 60.00
_cell_angle_beta 60.00
_cell_angle_gamma 60.00
loop_
_symmetry_equiv_pos_as_xyz
'x,y,z'
loop_
_atom_site_label
_atom_site_fract_x
_atom_site_fract_y
_atom_site_fract_z
_atom_site_occupancy
Cl1 0.000 0.000 0.000 1
Rh1 0.500 0.500 0.500 1
In1 0.250 0.250 0.250 1
In2 0.750 0.750 0.750 1
# **Space-group type**: Fm-3m (225)
# **Distance to the lowest polymorph of the same formula**: 576 meV per atom
# **Energy relative to the elements, uncorrected**: 107.5 meV/atom
# **ρ**: 7.2 g/cm3